Here is a geometry-optimized Pr2Pd3Au4 structure from the Alexandria database. Energies are from PBE.

abc: 8.458 7.531 5.458
angles: 79.51 61.11 39.38
Fractional positions:
Pr1 0.131 0.131 0.869
Pr2 0.869 0.869 0.131
Pd1 0.000 0.000 0.500
Pd2 0.500 0.500 0.000
Pd3 0.500 0.500 0.500
Au1 0.169 0.489 0.511
Au2 0.489 0.169 0.831
Au3 0.511 0.831 0.169
Au4 0.831 0.511 0.489

Symmetry ... Fmmm
Total magnetic moment ... 0.000 μB per atom
Calculated formation energy ... -0.697 eV per atom
Final energy ... -44.52 eV/cell